Here is a crystal of BaSiIr2 relaxed with PBEsol from Alexandria. Energies are from meta-GGA SCAN.

Theoretical density: 9.1 g cm⁻³
Raw formation energy: -340 meV/atom

abc: 8.697 8.697 8.697
angles: 146.39 146.39 48.26
Positions (direct):
Ba (0.375, 0.625, 0.750)
Ba (0.625, 0.375, 0.250)
Si (0.125, 0.875, 0.250)
Si (0.875, 0.125, 0.750)
Ir (0.000, 0.000, 0.000)
Ir (0.000, 0.000, 0.500)
Ir (0.000, 0.500, 0.000)
Ir (0.500, 0.000, 0.500)